No. 1
The following is a DFT calculation (PBE-GGA) of crystalline MnSi2Cl at its relaxed geometry.

The space group is Pm (No. 6) and the conventional cell measures 3.513, 3.412 and 7.599 Å, with angles of 90.00, 100.50 and 90.00 degrees. The asymmetric unit holds Mn at (0.000, 0.000, 0.000), Si at (0.104, 0.500, 0.265), Si at (0.598, 0.000, 0.250) and Cl at (0.915, 0.500, 0.784).

The value obtained for the formation energy (no corrections) is -23 meV/atom.

***

No. 2
The following is a DFT calculation (PBE-GGA) of crystalline Tm3AlNi9B2 at its relaxed geometry.

The space group is P-3m1 (No. 164) and the conventional cell measures 5.3494, 5.3494 and 8.3849 Å, with angles of 90.00, 90.00 and 120.00 degrees. The asymmetric unit holds Tm at (0.0000, 0.0000, 0.0000), Tm at (0.3333, 0.6667, 0.6302), Al at (0.0000, 0.0000, 0.5000), Ni at (0.0000, 0.5000, 0.0000), Ni at (0.1646, 0.3293, 0.2785) and B at (0.3333, 0.6667, 0.1443).

The calculation puts the formation energy from the elements at -448 meV/atom.

***

Calculated values (μB per cell) of M_tot for the records, taken in order: 3.6, 0.0.